Entry 1:
Compound: Tl2SbAu
Source: Alexandria via LeMat-Bulk
Functional: SCAN
Structure: PBEsol geometry

The structure in CIF format:
```
data_Tl2SbAu
_symmetry_space_group_name_H-M 'R 3 m'
_symmetry_Int_Tables_number 160
_symmetry_space_group_name_Hall 'R 3 -2"'
_cell_length_a 4.5223
_cell_length_b 4.5223
_cell_length_c 18.8683
_cell_angle_alpha 90.00
_cell_angle_beta 90.00
_cell_angle_gamma 120.00
loop_
_atom_site_label
_atom_site_fract_x
_atom_site_fract_y
_atom_site_fract_z
Tl1 0.0000 0.0000 0.0000
Tl2 0.0000 0.0000 0.2229
Sb1 0.0000 0.0000 0.7696
Au1 0.0000 0.0000 0.4731
```

Summary:
The polymorph energy (0 for the lowest one) is 0.00 eV per formula unit. As for the final energy: -62.91 eV per atom. Its total magnetic moment is 0.000 μB per formula unit.

=====

Entry 2:
Compound: Tl2SbAu
Source: Alexandria via LeMat-Bulk
Functional: SCAN
Structure: PBEsol geometry

The structure in CIF format:
```
data_Tl2SbAu
_symmetry_space_group_name_H-M 'I m m 2'
_symmetry_Int_Tables_number 44
_symmetry_space_group_name_Hall 'I 2 -2'
_cell_length_a 3.517
_cell_length_b 5.218
_cell_length_c 11.091
_cell_angle_alpha 90.00
_cell_angle_beta 90.00
_cell_angle_gamma 90.00
loop_
_atom_site_label
_atom_site_fract_x
_atom_site_fract_y
_atom_site_fract_z
Tl1 0.000 0.000 0.000
Tl2 0.000 0.500 0.201
Sb1 0.000 0.500 0.785
Au1 0.000 0.000 0.480
```

Summary:
The polymorph energy (0 for the lowest one) is 0.65 eV per formula unit. As for the final energy: -62.75 eV per atom. Its total magnetic moment is 0.000 μB per formula unit.

=====

Entry 3:
Compound: TlSb2Au
Source: Alexandria via LeMat-Bulk
Functional: SCAN
Structure: PBEsol geometry

The structure in CIF format:
```
data_TlSb2Au
_symmetry_space_group_name_H-M 'P 1 2/m 1'
_symmetry_Int_Tables_number 10
_symmetry_space_group_name_Hall '-P 2y'
_cell_length_a 4.925
_cell_length_b 4.260
_cell_length_c 5.348
_cell_angle_alpha 90.00
_cell_angle_beta 107.06
_cell_angle_gamma 90.00
loop_
_atom_site_label
_atom_site_fract_x
_atom_site_fract_y
_atom_site_fract_z
Tl1 0.000 0.000 0.000
Sb1 0.278 0.500 0.692
Au1 0.500 0.000 0.500
```

Summary:
The polymorph energy (0 for the lowest one) is 0.00 eV per formula unit. As for the final energy: -54.13 eV per atom. Its total magnetic moment is 0.000 μB per formula unit.

=====

Entry 4:
Compound: TlSb2Au
Source: Alexandria via LeMat-Bulk
Functional: SCAN
Structure: PBEsol geometry

The structure in CIF format:
```
data_TlSb2Au
_symmetry_space_group_name_H-M 'F m -3 m'
_symmetry_Int_Tables_number 225
_symmetry_space_group_name_Hall '-F 4 2 3'
_cell_length_a 7.264
_cell_length_b 7.264
_cell_length_c 7.264
_cell_angle_alpha 90.00
_cell_angle_beta 90.00
_cell_angle_gamma 90.00
loop_
_atom_site_label
_atom_site_fract_x
_atom_site_fract_y
_atom_site_fract_z
Tl1 0.000 0.000 0.000
Sb1 0.250 0.250 0.250
Au1 0.000 0.000 0.500
```

Summary:
The polymorph energy (0 for the lowest one) is 1.68 eV per formula unit. As for the final energy: -53.71 eV per atom. Its total magnetic moment is 0.000 μB per formula unit.

=====

Entry 5:
Compound: TlSb2Au
Source: Alexandria via LeMat-Bulk
Functional: SCAN
Structure: PBEsol geometry

The structure in CIF format:
```
data_TlSb2Au
_symmetry_space_group_name_H-M 'I -4 m 2'
_symmetry_Int_Tables_number 119
_symmetry_space_group_name_Hall 'I -4 -2'
_cell_length_a 5.146
_cell_length_b 5.146
_cell_length_c 7.320
_cell_angle_alpha 90.00
_cell_angle_beta 90.00
_cell_angle_gamma 90.00
loop_
_atom_site_label
_atom_site_fract_x
_atom_site_fract_y
_atom_site_fract_z
Tl1 0.000 0.000 0.000
Sb1 0.000 0.000 0.500
Sb2 0.000 0.500 0.750
Au1 0.000 0.500 0.250
```

Summary:
The polymorph energy (0 for the lowest one) is 1.33 eV per formula unit. As for the final energy: -53.80 eV per atom. Its total magnetic moment is 0.000 μB per formula unit.

=====

Entry 6:
Compound: Tl2SbAu
Source: Alexandria via LeMat-Bulk
Functional: SCAN
Structure: PBEsol geometry

The structure in CIF format:
```
data_Tl2SbAu
_symmetry_space_group_name_H-M 'P 4 m m'
_symmetry_Int_Tables_number 99
_symmetry_space_group_name_Hall 'P 4 -2'
_cell_length_a 3.455
_cell_length_b 3.455
_cell_length_c 8.402
_cell_angle_alpha 90.00
_cell_angle_beta 90.00
_cell_angle_gamma 90.00
loop_
_atom_site_label
_atom_site_fract_x
_atom_site_fract_y
_atom_site_fract_z
Tl1 0.000 0.000 0.000
Tl2 0.500 0.500 0.299
Sb1 0.500 0.500 0.715
Au1 0.000 0.000 0.524
```

Summary:
The polymorph energy (0 for the lowest one) is 0.66 eV per formula unit. As for the final energy: -62.74 eV per atom. Its total magnetic moment is 0.000 μB per formula unit.

=====

Entry 7:
Compound: SbWAu
Source: Alexandria via LeMat-Bulk
Functional: SCAN
Structure: PBEsol geometry

The structure in CIF format:
```
data_SbWAu
_symmetry_space_group_name_H-M 'I 4 m m'
_symmetry_Int_Tables_number 107
_symmetry_space_group_name_Hall 'I 4 -2'
_cell_length_a 2.945
_cell_length_b 2.945
_cell_length_c 13.912
_cell_angle_alpha 90.00
_cell_angle_beta 90.00
_cell_angle_gamma 90.00
loop_
_atom_site_label
_atom_site_fract_x
_atom_site_fract_y
_atom_site_fract_z
Sb1 0.000 0.000 0.000
W1 0.000 0.000 0.650
Au1 0.000 0.000 0.280
```

Summary:
As for the final energy: -58.07 eV per atom. Its total magnetic moment is 0.000 μB per formula unit.

=====

Entry 8:
Compound: Y2SbAu
Source: Alexandria via LeMat-Bulk
Functional: SCAN
Structure: PBEsol geometry

The structure in CIF format:
```
data_Y2SbAu
_symmetry_space_group_name_H-M 'R 3 m'
_symmetry_Int_Tables_number 160
_symmetry_space_group_name_Hall 'R 3 -2"'
_cell_length_a 4.3408
_cell_length_b 4.3408
_cell_length_c 21.3494
_cell_angle_alpha 90.00
_cell_angle_beta 90.00
_cell_angle_gamma 120.00
loop_
_atom_site_label
_atom_site_fract_x
_atom_site_fract_y
_atom_site_fract_z
Y1 0.0000 0.0000 0.0000
Y2 0.0000 0.0000 0.1960
Sb1 0.0000 0.0000 0.4492
Au1 0.0000 0.0000 0.7303
```

Summary:
As for the final energy: -41.16 eV per atom. Its total magnetic moment is 1.367 μB per formula unit.

=====

Entry 9:
Compound: YSbAu2
Source: Alexandria via LeMat-Bulk
Functional: SCAN
Structure: PBEsol geometry

The structure in CIF format:
```
data_YSbAu2
_symmetry_space_group_name_H-M 'R 3 m'
_symmetry_Int_Tables_number 160
_symmetry_space_group_name_Hall 'R 3 -2"'
_cell_length_a 4.6314
_cell_length_b 4.6314
_cell_length_c 15.0425
_cell_angle_alpha 90.00
_cell_angle_beta 90.00
_cell_angle_gamma 120.00
loop_
_atom_site_label
_atom_site_fract_x
_atom_site_fract_y
_atom_site_fract_z
Y1 0.0000 0.0000 0.0000
Sb1 0.0000 0.0000 0.8004
Au1 0.0000 0.0000 0.2231
Au2 0.0000 0.0000 0.4086
```

Summary:
As for the final energy: -51.66 eV per atom. Its total magnetic moment is 0.000 μB per formula unit.

=====

Entry 10:
Compound: YSbAu2
Source: Alexandria via LeMat-Bulk
Functional: SCAN
Structure: PBEsol geometry

The structure in CIF format:
```
data_YSbAu2
_symmetry_space_group_name_H-M 'I 4/m m m'
_symmetry_Int_Tables_number 139
_symmetry_space_group_name_Hall '-I 4 2'
_cell_length_a 4.408
_cell_length_b 4.408
_cell_length_c 8.631
_cell_angle_alpha 90.00
_cell_angle_beta 90.00
_cell_angle_gamma 90.00
loop_
_atom_site_label
_atom_site_fract_x
_atom_site_fract_y
_atom_site_fract_z
Y1 0.000 0.000 0.000
Sb1 0.000 0.000 0.500
Au1 0.000 0.500 0.250
```

Summary:
As for the final energy: -51.61 eV per atom. Its total magnetic moment is 0.000 μB per formula unit.

=====

Entry 11:
Compound: YSbAu
Source: Alexandria via LeMat-Bulk
Functional: SCAN
Structure: PBEsol geometry

The structure in CIF format:
```
data_YSbAu
_symmetry_space_group_name_H-M 'P 3 m 1'
_symmetry_Int_Tables_number 156
_symmetry_space_group_name_Hall 'P 3 -2"'
_cell_length_a 4.4664
_cell_length_b 4.4664
_cell_length_c 4.1199
_cell_angle_alpha 90.00
_cell_angle_beta 90.00
_cell_angle_gamma 120.00
loop_
_atom_site_label
_atom_site_fract_x
_atom_site_fract_y
_atom_site_fract_z
Y1 0.0000 0.0000 0.0000
Sb1 0.3333 0.6667 0.5521
Au1 0.6667 0.3333 0.3632
```

Summary:
As for the final energy: -45.78 eV per atom. Its total magnetic moment is 0.000 μB per formula unit.

=====

Entry 12:
Compound: YSbAu2
Source: Alexandria via LeMat-Bulk
Functional: SCAN
Structure: PBEsol geometry

The structure in CIF format:
```
data_YSbAu2
_symmetry_space_group_name_H-M 'P 4/m m m'
_symmetry_Int_Tables_number 123
_symmetry_space_group_name_Hall '-P 4 2'
_cell_length_a 3.758
_cell_length_b 3.758
_cell_length_c 6.094
_cell_angle_alpha 90.00
_cell_angle_beta 90.00
_cell_angle_gamma 90.00
loop_
_atom_site_label
_atom_site_fract_x
_atom_site_fract_y
_atom_site_fract_z
Y1 0.000 0.000 0.000
Sb1 0.000 0.000 0.500
Au1 0.500 0.500 0.243
```

Summary:
As for the final energy: -51.56 eV per atom. Its total magnetic moment is 0.000 μB per formula unit.